VASP calculation (PBE-GGA) on an optimized crystal structure of NaZnSnHg.

Cell and atoms, written as extended XYZ:
```
4
Lattice="-4.148 2.632 -1.312 -3.370 1.371 3.553 -0.439 4.886 1.337" Properties=species:S:1:pos:R:3 pbc="T T T"
Zn -1.989 2.222 0.894
Hg -5.967 6.667 2.683
Sn -3.978 4.445 1.789
Na 0.000 0.000 0.000
```

Calculated values
Its symmetry is F-43m (216). The total energy comes out at -1.770 eV/atom. The calculation puts the calculated formation energy at -46 meV per atom.